Compound: Cd2FeRu
Source: the Alexandria database
Functional: GGA-PBEsol
Structure: optimized geometry Values from VASP.

The structure in Quantum ESPRESSO input format:
```
&SYSTEM
  ibrav = 0, nat = 4, ntyp = 3
/
ATOMIC_SPECIES
Cd 112.41 Cd.upf
Fe 55.84 Fe.upf
Ru 101.07 Ru.upf
CELL_PARAMETERS angstrom
-1.683 2.129 4.373
1.683 -2.129 4.373
1.683 2.129 -4.373
ATOMIC_POSITIONS crystal
Cd 0.243 0.243 0.000
Cd 0.757 0.757 0.000
Fe 0.000 0.500 0.500
Ru 0.500 0.000 0.500
```

Computed properties:
Theoretical density = 10.1 Mg/m³
Formation energy from the elements = 9.49 kcal/mol of atoms
Symmetry = No. 71
Volume = 62.7 Å³ per cell
Spin magnetization = 0.8757 μB/atom